Record 1
PmDy5Ho6 | PBE | optimized geometry

abc: 6.134 6.131 11.729
angles: 85.02 80.00 59.98
Atoms (fractional coordinates):
Ho1 0.917 0.666 0.251
Ho2 0.417 0.666 0.749
Ho3 0.083 0.334 0.749
Ho4 0.583 0.334 0.251
Ho5 0.251 0.000 0.251
Ho6 0.749 0.000 0.749
Dy1 0.667 0.667 0.000
Dy2 0.500 0.000 0.500
Dy3 0.333 0.333 0.000
Dy4 0.833 0.334 0.500
Dy5 0.167 0.666 0.500
Pm1 0.000 0.000 0.000

Energy of formation = 0.0170 eV/atom
Crystal system = monoclinic
Volume = 376 Å³ per cell
DOS at the Fermi energy = 1.288 states/eV/atom
Calculated total energy = -0.337 Ry/atom

---

Record 2
PmTlAu | PBE | optimized geometry

abc: 5.100 5.100 8.239
angles: 71.97 71.97 60.00
Atoms (fractional coordinates):
Pm1 0.608 0.608 0.175
Pm2 0.392 0.392 0.825
Tl1 0.870 0.870 0.390
Tl2 0.130 0.130 0.610
Au1 0.261 0.261 0.216
Au2 0.739 0.739 0.784

Energy of formation = -0.4516 eV/atom
Crystal system = trigonal
Volume = 173 Å³ per cell
DOS at the Fermi energy = 0.393 states/eV/atom
Calculated total energy = -0.288 Ry/atom
Offset from the most stable computed form = 0.49 eV/f.u.

---

Record 3
Tl24As5 | PBE | optimized geometry

abc: 10.540 10.540 10.540
angles: 109.47 109.47 109.47
Atoms (fractional coordinates):
As1 0.000 0.240 0.000
As2 0.760 0.760 0.760
As3 0.000 0.000 0.000
As4 0.000 0.000 0.240
As5 0.240 0.000 0.000
Tl1 0.377 0.187 0.377
Tl2 0.810 0.000 0.623
Tl3 0.190 0.813 0.190
Tl4 0.579 0.000 0.304
Tl5 0.623 0.000 0.810
Tl6 0.810 0.623 0.000
Tl7 0.813 0.190 0.190
Tl8 0.000 0.304 0.579
Tl9 0.000 0.810 0.623
Tl10 0.377 0.377 0.187
Tl11 0.696 0.696 0.275
Tl12 0.725 0.421 0.421
Tl13 0.000 0.579 0.304
Tl14 0.190 0.190 0.813
Tl15 0.304 0.000 0.579
Tl16 0.579 0.304 0.000
Tl17 0.421 0.421 0.725
Tl18 0.304 0.579 0.000
Tl19 0.000 0.623 0.810
Tl20 0.421 0.725 0.421
Tl21 0.275 0.696 0.696
Tl22 0.623 0.810 0.000
Tl23 0.187 0.377 0.377
Tl24 0.696 0.275 0.696

Energy of formation = 0.0829 eV/atom
Crystal system = cubic
Volume = 901 Å³ per cell
DOS at the Fermi energy = 0.841 states/eV/atom
Calculated total energy = -0.197 Ry/atom

---

Record 4
Rb2CuSnS4 | PBE | optimized geometry

abc: 7.378 7.378 6.645
angles: 123.72 123.72 90.00
Last column: magnetic moment on the atom in μB.
Atoms (fractional coordinates):
Sn1 0.986 0.486 0.972  0.01
S1 0.691 0.584 0.672  0.08
S2 0.383 0.780 0.271  0.08
S3 0.981 0.089 0.673  0.08
S4 0.888 0.491 0.271  0.08
Rb1 0.236 0.236 0.472  0.00
Rb2 0.486 0.986 0.972  0.00
Cu1 0.736 0.736 0.472  0.29

Crystal system = tetragonal
Volume = 224 Å³ per cell
Formation energy (no corrections) = -67.5 kJ/mol of atoms
DOS at the Fermi energy = 0.347 states/eV/atom
Calculated total energy = -0.295 Ry/atom

---

Record 5
Li6CaCd2 | PBE | optimized geometry

abc: 4.218 4.218 11.315
angles: 90.00 90.00 90.00
Atoms (fractional coordinates):
Li1 0.000 0.500 0.300
Li2 0.500 0.000 0.700
Li3 0.500 0.500 0.500
Li4 0.000 0.000 0.500
Li5 0.500 0.000 0.300
Li6 0.000 0.500 0.700
Ca1 0.000 0.000 0.000
Cd1 0.500 0.500 0.868
Cd2 0.500 0.500 0.132

Energy of formation = -0.1167 eV/atom
Crystal system = tetragonal
Volume = 201 Å³ per cell
DOS at the Fermi energy = 0.541 states/eV/atom
Calculated total energy = -0.134 Ry/atom
Offset from the most stable computed form = 0.00 eV/f.u.

---

Record 6
TlCoTe2 | PBE | optimized geometry

abc: 3.226 3.225 9.894
angles: 90.00 90.00 90.00
Last column: magnetic moment on the atom in μB.
Atoms (fractional coordinates):
Te1 0.500 0.500 0.257  0.02
Te2 0.000 0.000 0.905  -0.01
Tl1 0.000 0.000 0.550  0.00
Co1 0.500 0.500 0.787  0.44

Crystal system = tetragonal
Volume = 103 Å³ per cell
Formation energy (no corrections) = 15.4 kJ/mol of atoms
DOS at the Fermi energy = 0.905 states/eV/atom
Calculated total energy = -0.278 Ry/atom

---

Record 7
La4PrS4 | PBE | optimized geometry

abc: 5.861 7.146 7.144
angles: 80.27 65.78 65.79
Atoms (fractional coordinates):
La1 0.603 0.594 0.200
La2 0.397 0.406 0.800
La3 0.197 0.200 0.406
La4 0.803 0.800 0.594
S1 0.300 0.799 0.601
S2 0.700 0.201 0.399
S3 0.901 0.400 0.799
S4 0.099 0.600 0.201
Pr1 0.000 0.000 0.000

Crystal system = monoclinic
Volume = 249 Å³ per cell
Formation energy (no corrections) = -180.1 kJ/mol of atoms
DOS at the Fermi energy = 0.809 states/eV/atom
Calculated total energy = -0.472 Ry/atom

---

Record 8
BP | PBE | optimized geometry

abc: 3.213 3.213 4.804
angles: 91.84 106.98 119.99
Atoms (fractional coordinates):
P1 0.928 0.536 0.946
B1 0.594 0.869 0.946

Energy of formation = -0.0319 eV/atom
Crystal system = triclinic
Volume = 40 Å³ per cell
Calculated total energy = -0.447 Ry/atom

---

Record 9
ZrAgP2 | PBE | optimized geometry

abc: 6.313 6.313 6.313
angles: 35.91 35.91 35.91
Atoms (fractional coordinates):
Zr1 0.250 0.250 0.250
Ag1 0.750 0.750 0.750
P1 0.996 0.996 0.996
P2 0.504 0.504 0.504

Energy of formation = -0.3279 eV/atom
Crystal system = trigonal
Volume = 77 Å³ per cell
DOS at the Fermi energy = 0.466 states/eV/atom
Calculated total energy = -0.432 Ry/atom
Offset from the most stable computed form = 0.54 eV/f.u.

---

Record 10
Sc3AlCo8 | PBE | optimized geometry

abc: 4.824 4.824 8.372
angles: 73.26 73.26 60.00
Last column: magnetic moment on the atom in μB.
Atoms (fractional coordinates):
Co1 0.938 0.938 0.683  1.13
Co2 0.688 0.688 0.937  1.07
Co3 0.437 0.935 0.191  1.09
Co4 0.442 0.938 0.683  1.13
Co5 0.938 0.442 0.683  1.13
Co6 0.935 0.437 0.191  1.09
Co7 0.437 0.437 0.191  1.09
Co8 0.188 0.188 0.436  1.10
Sc1 0.375 0.375 0.874  -0.28
Sc2 0.502 0.502 0.493  -0.25
Sc3 0.997 0.997 0.010  -0.25
Al1 0.874 0.874 0.378  -0.01

Energy of formation = -0.3329 eV/atom
Crystal system = trigonal
Volume = 159 Å³ per cell
DOS at the Fermi energy = 1.282 states/eV/atom
Calculated total energy = -0.512 Ry/atom

---

Record 11
BaScTi2Te | PBE | optimized geometry

abc: 5.209 5.209 5.506
angles: 90.00 90.00 90.00
Atoms (fractional coordinates):
Ti1 0.000 0.500 0.000
Ti2 0.500 0.000 0.000
Ba1 0.500 0.500 0.500
Sc1 0.000 0.000 0.500
Te1 0.000 0.000 0.000

Crystal system = tetragonal
Volume = 149 Å³ per cell
Formation energy (no corrections) = 38.7 kJ/mol of atoms
DOS at the Fermi energy = 1.446 states/eV/atom
Calculated total energy = -0.370 Ry/atom

---

Record 12
HfBe9Mo2 | PBE | optimized geometry

abc: 4.489 4.489 7.492
angles: 72.57 72.57 60.00
Atoms (fractional coordinates):
Be1 0.500 0.500 0.500
Be2 0.334 0.334 0.998
Be3 0.080 0.586 0.749
Be4 0.414 0.920 0.251
Be5 0.586 0.080 0.749
Be6 0.586 0.586 0.749
Be7 0.666 0.666 0.002
Be8 0.414 0.414 0.251
Be9 0.920 0.414 0.251
Hf1 0.000 0.000 0.000
Mo1 0.856 0.856 0.432
Mo2 0.144 0.144 0.568

Energy of formation = -0.2979 eV/atom
Crystal system = trigonal
Volume = 123 Å³ per cell
DOS at the Fermi energy = 0.290 states/eV/atom
Calculated total energy = -0.421 Ry/atom
Offset from the most stable computed form = 0.00 eV/f.u.